# LiAg2Hg (PBEsol, optimized geometry)
# VASP energy	-39.5	eV per cell
# spin magnetization	0.00	μB/cell
data_LiAg2Hg
_chemical_formula_sum 'Li4 Ag8 Hg4'
_cell_length_a 6.483
_cell_length_b 6.483
_cell_length_c 6.483
_cell_angle_alpha 90.00
_cell_angle_beta 90.00
_cell_angle_gamma 90.00
_space_group_name_H-M_alt 'F -4 3 m'
_space_group_IT_number 216
_space_group_name_Hall 'F -4 2 3'
loop_
_atom_site_label
_atom_site_fract_x
_atom_site_fract_y
_atom_site_fract_z
Li1 0.000 0.000 0.000
Ag1 0.000 0.000 0.500
Ag2 0.250 0.250 0.250
Hg1 0.250 0.250 0.750